Record 1
A plane-wave DFT calculation with GGA-PBE was carried out for Sc2PaCd after structural relaxation.

a = 11.289 Å, b = 11.289 Å, c = 11.289 Å
α = 15.94°, β = 15.94°, γ = 15.94°
Fractional positions:
Sc 0.090 0.090 0.090
Sc 0.910 0.910 0.910
Pa 0.000 0.000 0.000
Cd 0.500 0.500 0.500

Symmetry: R-3m, No. 166
ΔH_f (0 K), eV/atom: 0.14
E, eV/cell: -22.5

=====

Record 2
A plane-wave DFT calculation with GGA-PBE was carried out for CuMoAu2 after structural relaxation.

a = 2.746 Å, b = 3.943 Å, c = 5.973 Å
α = 90.00°, β = 90.00°, γ = 90.00°
Fractional positions:
Cu 0.000 0.000 0.000
Mo 0.500 0.500 0.226
Au 0.000 0.000 0.468
Au 0.500 0.500 0.760

Symmetry: Pmm2, No. 25
ΔH_f (0 K), eV/atom: 0.24
E, eV/cell: -20.5

=====

Record 3
A plane-wave DFT calculation with GGA-PBE was carried out for Rb3ReSi after structural relaxation.

a = 6.559 Å, b = 6.559 Å, c = 6.559 Å
α = 90.00°, β = 90.00°, γ = 90.00°
Fractional positions:
Rb 0.000 0.000 0.500
Rb 0.000 0.500 0.000
Rb 0.500 0.000 0.000
Re 0.000 0.000 0.000
Si 0.500 0.500 0.500

Symmetry: Pm-3m, No. 221
E, eV/cell: -11.8

=====

Result set for total magnetization: 0.00; 0.00; 6.00 μB/f.u., one per record in the order listed.